No. 1
Here is crystalline YAlCuAu6 at its relaxed geometry from the Alexandria database. Energies are from PBE-GGA.

```
YAlCuAu6
1.0
-5.084 3.458 -4.016
-6.425 -3.265 5.322
6.190 4.256 2.544
Y Al Cu Au
2 2 2 12
Cartesian
-3.960 2.793 0.703
-1.359 1.656 3.146
-5.754 0.097 0.653
-2.542 1.729 -2.008
0.553 3.857 -0.736
3.095 2.128 1.272
-7.283 0.057 2.553
-0.521 6.687 -0.297
-4.050 3.836 -2.318
-4.023 0.222 2.601
-0.997 1.760 0.094
-7.076 2.298 0.189
1.964 4.393 1.296
-4.797 -2.238 4.146
-1.269 0.613 6.167
-1.295 4.228 1.248
-4.322 2.690 3.755
1.757 2.151 3.660
```

As for the symmetry: Imma (74). The energy of formation from the pure elements comes out at -0.251 eV/atom. The total DFT energy (no corrections) is -4.025 eV/atom. The calculation puts the density of states at the Fermi level at 3.25 states/eV/f.u. The density is 12.7 g cm⁻³.



No. 2
Here is crystalline Y2Al4CuAu3 at its relaxed geometry from the Alexandria database. Energies are from PBE-GGA.

```
Y2Al4CuAu3
1.0
-3.162 2.657 1.093
-2.178 -3.276 1.665
4.646 1.673 9.372
Y Al Cu Au
2 4 1 3
Cartesian
-0.389 1.758 2.951
2.365 -0.394 7.800
-2.670 -0.310 1.379
0.000 0.000 0.000
1.335 2.379 6.429
0.641 -1.015 4.322
-0.347 0.527 6.065
2.323 0.837 4.686
2.426 2.772 8.629
-0.450 -1.408 2.122
```

As for the symmetry: P-4m2 (115). The energy of formation from the pure elements comes out at -0.657 eV/atom. The total DFT energy (no corrections) is -4.840 eV/atom. The calculation puts the density of states at the Fermi level at 3.67 states/eV/f.u. The density is 8.1 g cm⁻³.



No. 3
Here is crystalline YAl4Cu2Au at its relaxed geometry from the Alexandria database. Energies are from PBE-GGA.

```
YAl4Cu2Au
1.0
4.230 0.000 0.000
2.115 3.663 0.000
2.115 1.221 9.058
Y Al Cu Au
1 4 2 1
Cartesian
0.000 0.000 0.000
4.230 2.442 7.179
6.344 3.663 3.273
2.115 1.221 5.785
4.230 2.442 1.879
6.344 3.663 7.029
2.115 1.221 2.030
4.230 2.442 4.529
```

As for the symmetry: R-3m (166). The energy of formation from the pure elements comes out at -0.337 eV/atom. The total DFT energy (no corrections) is -4.450 eV/atom. The calculation puts the density of states at the Fermi level at 2.83 states/eV/f.u. The density is 6.2 g cm⁻³.



No. 4
Here is crystalline Y2Al3Cu12Au at its relaxed geometry from the Alexandria database. Energies are from PBE-GGA.

```
Y2Al3Cu12Au
1.0
10.753 3.056 2.168
7.968 7.841 2.168
7.968 4.638 6.684
Y Al Cu Au
2 3 12 1
Cartesian
17.138 9.976 7.076
9.552 5.560 3.944
5.377 1.528 1.084
3.984 3.921 1.084
3.984 2.319 3.342
14.375 8.368 7.430
19.818 11.536 6.553
18.481 12.295 8.721
15.602 7.671 5.441
19.818 9.998 8.721
14.375 9.778 5.441
12.314 7.168 3.589
6.871 4.000 4.466
8.209 3.240 2.298
11.087 7.864 5.578
6.871 5.538 2.298
12.314 5.757 5.578
0.000 0.000 0.000
```

As for the symmetry: R-3m (166). The energy of formation from the pure elements comes out at 0.044 eV/atom. The total DFT energy (no corrections) is -4.210 eV/atom. The calculation puts the density of states at the Fermi level at 8.76 states/eV/f.u. The density is 7.0 g cm⁻³.



No. 5
Here is crystalline Y2Al4Cu3Au at its relaxed geometry from the Alexandria database. Energies are from PBE-GGA.

```
Y2Al4Cu3Au
1.0
4.180 0.000 0.000
0.000 4.180 0.000
0.000 0.000 10.294
Y Al Cu Au
2 4 3 1
Cartesian
2.090 0.000 2.535
0.000 2.090 7.759
2.090 2.090 0.000
0.000 0.000 0.000
2.090 0.000 6.580
0.000 2.090 3.714
0.000 0.000 5.147
2.090 0.000 8.959
0.000 2.090 1.335
2.090 2.090 5.147
```

As for the symmetry: P-4m2 (115). The energy of formation from the pure elements comes out at -0.495 eV/atom. The total DFT energy (no corrections) is -4.842 eV/atom. The calculation puts the density of states at the Fermi level at 4.96 states/eV/f.u. The density is 6.2 g cm⁻³.



No. 6
Here is crystalline AlZnCuAu at its relaxed geometry from the Alexandria database. Energies are from PBE-GGA.

```
AlZnCuAu
1.0
-2.873 0.719 -0.415
0.700 -4.611 -2.053
-1.044 -1.907 3.927
Al Zn Cu Au
1 1 1 1
Cartesian
-0.321 -1.855 -0.986
-0.624 -1.539 1.652
-2.380 -3.025 0.464
-2.084 -3.379 -2.195
```

As for the symmetry: Amm2 (38). The energy of formation from the pure elements comes out at -0.099 eV/atom. The total DFT energy (no corrections) is -3.197 eV/atom. The calculation puts the density of states at the Fermi level at 1.45 states/eV/f.u. The density is 9.0 g cm⁻³.



No. 7
Here is crystalline Al2ZnCuAu4 at its relaxed geometry from the Alexandria database. Energies are from PBE-GGA.

```
Al2ZnCuAu4
1.0
-3.635 -0.650 2.523
-0.016 -3.211 3.113
1.382 3.536 6.866
Al Zn Cu Au
2 1 1 4
Cartesian
-1.676 -0.196 9.426
-0.593 -0.129 3.076
-1.135 -0.163 6.251
0.000 0.000 0.000
-0.165 1.636 8.111
-2.677 -2.054 7.505
0.408 1.728 4.997
-2.104 -1.961 4.391
```

As for the symmetry: R-3m (166). The energy of formation from the pure elements comes out at -0.257 eV/atom. The total DFT energy (no corrections) is -3.503 eV/atom. The calculation puts the density of states at the Fermi level at 1.91 states/eV/f.u. The density is 12.6 g cm⁻³.



No. 8
Here is crystalline Al2Zn2Cu2Au at its relaxed geometry from the Alexandria database. Energies are from PBE-GGA.

```
Al2Zn2Cu2Au
1.0
-0.563 3.185 0.144
-3.992 -2.350 -0.030
0.112 -0.312 7.325
Al Zn Cu Au
2 2 2 1
Cartesian
-2.136 1.211 1.261
-2.307 -0.688 6.178
-0.742 1.286 5.043
-3.700 -0.762 2.396
-1.258 -0.364 3.122
-3.185 0.887 4.318
0.000 0.000 0.000
```

As for the symmetry: C2/m (12). The energy of formation from the pure elements comes out at -0.141 eV/atom. The total DFT energy (no corrections) is -3.213 eV/atom. The calculation puts the density of states at the Fermi level at 1.54 states/eV/f.u. The density is 8.2 g cm⁻³.